(1)
The following is a DFT calculation (GGA-PBE) of crystalline NaBiBr4 at its relaxed geometry.

- energy above the lowest structure with this stoichiometry (eV per atom) = 0.006
- SG = No. 15
- formation energy from raw total energies (eV/atom) = -0.999
- M_tot (μB/f.u.) = 0.0
- crystal system = monoclinic
- total energy (eV for the cell shown) = -35.77

Cell lengths 7.329, 7.402, 10.722 Å; angles 116.81, 116.66, 71.95 degrees
Fractional coordinates of all 12 atoms:
Br  0.333  0.541  0.639
Br  0.806  0.097  0.639
Br  0.194  0.903  0.361
Br  0.472  0.200  0.906
Br  0.066  0.293  0.094
Br  0.934  0.707  0.906
Br  0.667  0.459  0.361
Br  0.528  0.800  0.094
Bi  0.327  0.577  0.155
Bi  0.673  0.423  0.845
Na  0.833  0.083  0.166
Na  0.167  0.917  0.834

=====

(2)
The following is a DFT calculation (GGA-PBE) of crystalline PuBeAl2 at its relaxed geometry.

- SG = No. 166
- M_tot (μB/f.u.) = 4.7
- crystal system = trigonal
- total energy (eV for the cell shown) = -24.13
- formation energy from the elements (eV/atom) = 0.353

Cell lengths 2.834, 2.834, 10.018 Å; angles 81.87, 81.87, 60.00 degrees
Fractional coordinates of all 4 atoms:
Al  0.899  0.899  0.303
Al  0.101  0.101  0.697
Pu  0.000  0.000  0.000
Be  0.500  0.500  0.500

=====

(3)
The following is a DFT calculation (GGA-PBE) of crystalline Cs2Na15Sr2 at its relaxed geometry.

- SG = No. 166
- M_tot (μB/f.u.) = 0.0
- crystal system = trigonal
- total energy (eV for the cell shown) = -24.33
- formation energy from the elements (eV/atom) = 0.028

Cell lengths 9.694, 9.694, 9.694 Å; angles 82.11, 82.11, 82.11 degrees
Fractional coordinates of all 19 atoms:
Cs  0.348  0.348  0.348
Cs  0.652  0.652  0.652
Na  0.000  0.000  0.500
Na  0.286  0.714  0.000
Na  0.150  0.651  0.651
Na  0.000  0.286  0.714
Na  0.349  0.349  0.850
Na  0.000  0.500  0.000
Na  0.500  0.000  0.000
Na  0.714  0.286  0.000
Na  0.850  0.349  0.349
Na  0.349  0.850  0.349
Na  0.000  0.714  0.286
Na  0.714  0.000  0.286
Na  0.651  0.651  0.150
Na  0.286  0.000  0.714
Na  0.651  0.150  0.651
Sr  0.896  0.896  0.896
Sr  0.104  0.104  0.104

=====

(4)
The following is a DFT calculation (GGA-PBE) of crystalline TbSnSb2 at its relaxed geometry.

- energy above the lowest structure with this stoichiometry (eV per atom) = 0.035
- SG = No. 123
- formation energy from raw total energies (eV/atom) = -0.437
- M_tot (μB/f.u.) = 0.0
- crystal system = tetragonal
- total energy (eV for the cell shown) = -18.63

Cell lengths 4.111, 5.132, 5.132 Å; angles 90.00, 90.00, 90.00 degrees
Fractional coordinates of all 4 atoms:
Tb  0.500  0.000  0.000
Sb  0.000  0.500  0.000
Sb  0.000  0.000  0.500
Sn  0.500  0.500  0.500